# PBE BaCoAg, optimized geometry
# Energy of formation (meV/atom): 992
# Total energy (eV/cell): -8.905
# Crystal system: cubic
data_BaCoAg
_chemical_formula_sum 'Ba1 Co1 Ag1'
_space_group_name_H-M_alt 'P 1'
_space_group_IT_number 1
_space_group_name_Hall 'P 1'
_cell_length_a 5.404
_cell_length_b 5.404
_cell_length_c 5.404
_cell_angle_alpha 60.00
_cell_angle_beta 60.00
_cell_angle_gamma 60.00
loop_
_atom_site_label
_atom_site_fract_x
_atom_site_fract_y
_atom_site_fract_z
Ba1 0.000 0.000 0.000
Co1 0.750 0.750 0.750
Ag1 0.250 0.250 0.250

***

# PBE BaCoAg2, optimized geometry
# Energy of formation (meV/atom): 369
# Total energy (eV/cell): -26.509
# Energy above the lowest structure with this stoichiometry (meV/atom): 185.4
# Crystal system: tetragonal
data_BaCoAg2
_chemical_formula_sum 'Ba2 Co2 Ag4'
_space_group_name_H-M_alt 'P 1'
_space_group_IT_number 1
_space_group_name_Hall 'P 1'
_cell_length_a 9.544
_cell_length_b 9.544
_cell_length_c 9.544
_cell_angle_alpha 148.27
_cell_angle_beta 148.27
_cell_angle_gamma 45.49
loop_
_atom_site_label
_atom_site_fract_x
_atom_site_fract_y
_atom_site_fract_z
Ba1 0.000 0.000 0.000
Ba2 0.750 0.250 0.500
Co1 0.250 0.750 0.500
Co2 0.500 0.500 0.000
Ag1 0.363 0.625 0.238
Ag2 0.375 0.613 0.738
Ag3 0.387 0.125 0.762
Ag4 0.875 0.637 0.262